# 1
Zr4Zn3Cu | PBE | optimized geometry

Output
ΔH_f (0 K)   -0.23 eV per atom
Fermi-level density of states   5.9 states/eV per cell
Calculated volume   18.4 Å³/atom
Uncorrected energy   -5.50 eV per atom

abc: 3.293 3.293 13.582
angles: 90.00 90.00 90.00
Space group P4/mmm (No. 123)
Symmetry-distinct sites (fractional):
Zr1 0.000 0.000 0.122
Zr2 0.000 0.000 0.374
Zn1 0.500 0.500 0.247
Zn2 0.500 0.500 0.500
Cu1 0.500 0.500 0.000



# 2
Ba4SiIBr2 | PBE | optimized geometry

Output
E_form (uncorrected)   -10.3 eV per formula unit
Fermi-level density of states   3.4 states/eV per cell
Calculated volume   41.2 Å³/atom
Uncorrected energy   -3.54 eV per atom

abc: 8.308 4.887 8.617
angles: 90.00 109.49 90.00
Space group P2/m (No. 10)
Symmetry-distinct sites (fractional):
Ba1 0.229 0.000 0.220
Ba2 0.242 0.500 0.777
Si1 0.000 0.500 0.000
I1 0.000 0.000 0.500
Br1 0.500 0.000 0.000
Br2 0.500 0.500 0.500



What is the Fermi-level density of states in the second record? 3.4 states/eV per cell